The following is a GGA+U calculation of a relaxed structure of KVTe2O8, from Alexandria via LeMat-Bulk.

Cell: 5.179 5.179 7.137 Å, 77.85 77.86 75.15°
Fractional coordinates of all 12 atoms:
O 0.200 0.767 0.199
O 0.346 0.345 0.518
O 0.768 0.200 0.199
O 0.236 0.235 0.949
O 0.232 0.800 0.801
O 0.764 0.765 0.051
O 0.800 0.233 0.801
O 0.654 0.655 0.482
Te 0.446 0.446 0.741
Te 0.554 0.554 0.259
V 0.000 0.000 0.000
K 0.000 0.000 0.500

Computed properties:
The volume is 178.4 Å³/f.u. As for the raw total energy: -5.69 eV per atom.